Material: KSr4In
Method: DFT, GGA-PBE
State: relaxed

Cell and atoms, written as extended XYZ:
```
6
Lattice="0.0000 5.4493 5.4493 5.4493 0.0000 5.4493 5.4493 5.4493 0.0000" Properties=species:S:1:pos:R:3 pbc="T T T"
K 0.0000 0.0000 0.0000
Sr 6.8021 4.0965 4.0965
Sr 4.0965 6.8021 4.0965
Sr 4.0965 4.0965 6.8021
Sr 6.8021 6.8021 6.8021
In 2.7247 2.7247 2.7247
```

Summary:
Total energy in eV for the cell shown: -9.017
ΔH_f (0 K) in eV per atom: 0.26
Fermi-level density of states in states/eV/cell: 7.97


Material: KSr2InTe4
Method: DFT, GGA-PBE
State: relaxed

Cell and atoms, written as extended XYZ:
```
16
Lattice="-4.7158 4.7585 6.5797 4.7158 -4.7585 6.5797 4.7158 4.7585 -6.5797" Properties=species:S:1:pos:R:3 pbc="T T T"
K -2.3579 2.3792 3.2899
K 2.3579 2.3792 3.2899
Sr 0.0000 0.0000 0.0000
Sr 2.3579 2.3792 -3.2899
Sr 2.3579 -2.3792 3.2899
Sr 0.0000 4.7585 0.0000
In 4.7158 0.0000 0.0000
In 0.0000 0.0000 6.5797
Te 4.7158 -0.0764 2.9143
Te 2.3920 2.3792 -0.0412
Te 7.0396 2.3792 -0.0412
Te 4.7158 4.6821 -2.9143
Te 0.0000 0.0764 9.4941
Te -2.3238 2.3792 6.6210
Te 2.3238 2.3792 6.6210
Te 0.0000 4.8348 3.6654
```

Summary:
Total energy in eV for the cell shown: -56.361
Formation energy (no corrections) in eV per atom: -1.05
Fermi-level density of states in states/eV/cell: 2.71


Material: K2SrInW
Method: DFT, GGA-PBE
State: relaxed

Cell and atoms, written as extended XYZ:
```
5
Lattice="6.4064 0.0000 0.0000 0.0000 6.4064 0.0000 0.0000 0.0000 6.3154" Properties=species:S:1:pos:R:3 pbc="T T T"
K 0.0000 3.2032 0.0000
K 3.2032 0.0000 0.0000
Sr 0.0000 0.0000 3.1577
In 3.2032 3.2032 3.1577
W 0.0000 0.0000 0.0000
```

Summary:
Total energy in eV for the cell shown: -12.697
ΔH_f (0 K) in eV per atom: 1.37
Fermi-level density of states in states/eV/cell: 7.79


Material: K2TaIn
Method: DFT, GGA-PBE
State: relaxed

Cell and atoms, written as extended XYZ:
```
4
Lattice="3.9147 0.0000 0.0000 0.0000 3.9147 0.0000 0.0000 0.0000 10.3924" Properties=species:S:1:pos:R:3 pbc="T T T"
K 0.0000 0.0000 0.0000
K 1.9574 1.9574 4.0713
Ta 0.0000 0.0000 6.9589
In 1.9574 1.9574 7.4817
```

Summary:
Total energy in eV for the cell shown: -13.921
ΔH_f (0 K) in eV per atom: 0.72
Fermi-level density of states in states/eV/cell: 3.26


Material: KTa2In2
Method: DFT, GGA-PBE
State: relaxed

Cell and atoms, written as extended XYZ:
```
5
Lattice="-1.9317 1.9317 9.2072 1.9317 -1.9317 9.2072 1.9317 1.9317 -9.2072" Properties=species:S:1:pos:R:3 pbc="T T T"
K 0.0000 0.0000 0.0000
Ta 1.9317 0.0000 4.6036
Ta 0.0000 1.9317 4.6036
In 0.0000 0.0000 6.9264
In 0.0000 0.0000 11.4880
```

Summary:
Total energy in eV for the cell shown: -27.539
ΔE to the lowest computed polymorph in eV/atom: 0.114
ΔH_f (0 K) in eV per atom: 0.55
Fermi-level density of states in states/eV/cell: 7.47


Material: K2TaIn
Method: DFT, GGA-PBE
State: relaxed

Cell and atoms, written as extended XYZ:
```
4
Lattice="6.5061 -1.5686 0.0000 6.5061 1.5686 0.0000 -0.9469 0.0000 5.4371" Properties=species:S:1:pos:R:3 pbc="T T T"
K 2.8414 0.0000 1.3243
K 9.2240 0.0000 4.1129
Ta -0.4734 0.0000 2.7186
In 6.5061 0.0000 0.0000
```

Summary:
Total energy in eV for the cell shown: -13.127
ΔH_f (0 K) in eV per atom: 0.91
Fermi-level density of states in states/eV/cell: 3.24


Material: K2TaIn
Method: DFT, GGA-PBE
State: relaxed

Cell and atoms, written as extended XYZ:
```
4
Lattice="4.2870 0.0000 0.0000 0.0000 4.2870 0.0000 0.0000 0.0000 6.1120" Properties=species:S:1:pos:R:3 pbc="T T T"
K 0.0000 2.1435 0.0000
K 2.1435 0.0000 0.0000
Ta 0.0000 0.0000 3.0560
In 2.1435 2.1435 3.0560
```

Summary:
Total energy in eV for the cell shown: -12.876
ΔH_f (0 K) in eV per atom: 0.98
Fermi-level density of states in states/eV/cell: 1.54


Material: K2TaIn
Method: DFT, GGA-PBE
State: relaxed

Cell and atoms, written as extended XYZ:
```
4
Lattice="4.9403 -1.5394 0.0000 4.9403 1.5394 0.0000 -0.4644 0.0000 9.8699" Properties=species:S:1:pos:R:3 pbc="T T T"
K 0.0000 0.0000 0.0000
K 2.0409 0.0000 5.9427
Ta 4.5636 0.0000 3.3837
In 7.2195 0.0000 2.4424
```

Summary:
Total energy in eV for the cell shown: -13.646
ΔH_f (0 K) in eV per atom: 0.78
Fermi-level density of states in states/eV/cell: 3.89


Material: K2TaIn
Method: DFT, GGA-PBE
State: relaxed

Cell and atoms, written as extended XYZ:
```
4
Lattice="3.0273 0.0000 0.0000 0.0000 6.1664 0.0000 0.0000 0.0000 6.1893" Properties=species:S:1:pos:R:3 pbc="T T T"
K 0.0000 0.0000 1.5481
K 0.0000 0.0000 4.6412
Ta 1.5137 3.0832 0.0000
In 1.5137 3.0832 3.0946
```

Summary:
Total energy in eV for the cell shown: -12.907
ΔH_f (0 K) in eV per atom: 0.97
Fermi-level density of states in states/eV/cell: 4.26


Material: K2TaIn
Method: DFT, GGA-PBE
State: relaxed

Cell and atoms, written as extended XYZ:
```
8
Lattice="-4.8784 4.8784 2.9955 4.8784 -4.8784 2.9955 4.8784 4.8784 -2.9955" Properties=species:S:1:pos:R:3 pbc="T T T"
K 2.4392 2.3060 -0.7489
K 2.5724 -2.4392 3.7444
K 2.4392 2.5724 2.2466
K 2.3060 7.3175 0.7489
Ta 4.8784 0.0000 1.4977
Ta 0.0000 0.0000 2.9955
In 0.0000 0.0000 0.0000
In 0.0000 4.8784 1.4977
```

Summary:
Total energy in eV for the cell shown: -23.392
ΔH_f (0 K) in eV per atom: 1.27
Fermi-level density of states in states/eV/cell: 9.02


Material: K2TaIn
Method: DFT, GGA-PBE
State: relaxed

Cell and atoms, written as extended XYZ:
```
4
Lattice="3.0479 0.0000 0.0000 0.0000 6.3708 0.0000 -0.2704 0.0000 5.7072" Properties=species:S:1:pos:R:3 pbc="T T T"
K 0.6701 0.0000 1.4193
K 2.1074 0.0000 4.2879
Ta -0.1352 3.1854 2.8536
In 1.5240 3.1854 0.0000
```

Summary:
Total energy in eV for the cell shown: -13.075
ΔH_f (0 K) in eV per atom: 0.93
Fermi-level density of states in states/eV/cell: 3.16


Material: KTaIn3
Method: DFT, GGA-PBE
State: relaxed

Cell and atoms, written as extended XYZ:
```
5
Lattice="5.4933 0.0000 0.0000 0.0000 5.4933 0.0000 0.0000 0.0000 5.4933" Properties=species:S:1:pos:R:3 pbc="T T T"
K 0.0000 0.0000 0.0000
Ta 2.7466 2.7466 2.7466
In 0.0000 0.0000 2.7466
In 0.0000 2.7466 0.0000
In 2.7466 0.0000 0.0000
```

Summary:
Total energy in eV for the cell shown: -11.618
ΔE to the lowest computed polymorph in eV/atom: 1.586
ΔH_f (0 K) in eV per atom: 1.91
Fermi-level density of states in states/eV/cell: 7.62


Material: KTaIn3
Method: DFT, GGA-PBE
State: relaxed

Cell and atoms, written as extended XYZ:
```
5
Lattice="5.5042 0.0000 0.0000 0.0000 5.5042 0.0000 0.0000 0.0000 5.5042" Properties=species:S:1:pos:R:3 pbc="T T T"
K 0.0000 0.0000 0.0000
Ta 2.7521 2.7521 2.7521
In 0.0000 2.7521 2.7521
In 2.7521 0.0000 2.7521
In 2.7521 2.7521 0.0000
```

Summary:
Total energy in eV for the cell shown: -19.545
ΔE to the lowest computed polymorph in eV/atom: 0.000
ΔH_f (0 K) in eV per atom: 0.32
Fermi-level density of states in states/eV/cell: 5.07


Material: K2TaIn
Method: DFT, GGA-PBE
State: relaxed

Cell and atoms, written as extended XYZ:
```
4
Lattice="1.7050 -2.5639 0.0000 1.7050 2.5639 0.0000 0.0000 0.0000 12.8866" Properties=species:S:1:pos:R:3 pbc="T T T"
K 0.0000 0.0000 3.1878
K 0.0000 0.0000 9.6988
Ta 1.7050 0.0000 0.0000
In 1.7050 0.0000 6.4433
```

Summary:
Total energy in eV for the cell shown: -13.306
ΔH_f (0 K) in eV per atom: 0.87
Fermi-level density of states in states/eV/cell: 2.80